DFT (PBE) results for a relaxed structure of GaHCO.

Cell lengths 3.386, 3.427, 4.384 Å; angles 70.26, 71.01, 61.65 degrees
Positions (direct):
O 0.832 0.162 0.255
C 0.841 0.039 0.632
H 0.685 0.989 0.231
Ga 0.141 0.353 0.739

Computed properties:
Energy   -20.67 eV per cell
Space group   P1, No. 1
Relative energy among the computed polymorphs   234.7 meV/atom
ρ   4.0 g/cm3